# 1
The following is a GGA-PBEsol calculation of CaHfTa2Os after structural relaxation, from Alexandria via LeMat-Bulk.

Summary:
magnetization: 0.000 μB per formula unit
symmetry: No. 123
ΔE_f: 1134 meV per atom
final energy: -8.857 eV per atom

POSCAR file:
```
CaHfTa2Os
1.0
-1.8449 -4.3397 -1.0288
2.7588 -0.2356 -3.9533
3.7042 -2.2189 2.7173
Ta Hf Os Ca
2 1 1 1
Direct
0.0000 0.5000 0.0000 Ta
0.5000 0.0000 0.0000 Ta
0.5000 0.5000 0.5000 Hf
0.0000 0.0000 0.0000 Os
0.0000 0.0000 0.5000 Ca
```



# 2
The following is a GGA-PBEsol calculation of MnSb2TeMo after structural relaxation, from Alexandria via LeMat-Bulk.

Summary:
magnetization: 5.848 μB per formula unit
symmetry: No. 123
final energy: -5.784 eV per atom

POSCAR file:
```
MnSb2TeMo
1.0
-2.6749 3.6933 1.6471
-0.7383 -2.3877 4.1548
4.2876 2.2014 2.0270
Sb Mn Te Mo
2 1 1 1
Direct
0.5000 0.0000 0.0000 Sb
0.0000 0.5000 0.0000 Sb
0.0000 0.0000 0.0000 Mn
0.0000 0.0000 0.5000 Te
0.5000 0.5000 0.5000 Mo
```



# 3
The following is a GGA-PBEsol calculation of Re4SiSb after structural relaxation, from Alexandria via LeMat-Bulk.

Summary:
magnetization: 0.001 μB per formula unit
symmetry: No. 216
final energy: -9.816 eV per atom

POSCAR file:
```
Re4SiSb
1.0
5.2109 0.0000 0.0000
2.6055 4.5128 0.0000
2.6055 1.5043 4.2547
Re Si Sb
4 1 1
Direct
0.1243 0.6252 0.6252 Re
0.6252 0.6252 0.6252 Re
0.6252 0.1243 0.6252 Re
0.6252 0.6252 0.1243 Re
0.0000 0.0000 0.0000 Si
0.2500 0.2500 0.2500 Sb
```



# 4
The following is a GGA-PBEsol calculation of Ba2CaCr2CuF14 after structural relaxation, from Alexandria via LeMat-Bulk.

Summary:
magnetization: 6.646 μB per formula unit
symmetry: No. 15
final energy: -5.988 eV per atom

POSCAR file:
```
Ba2CaCr2CuF14
1.0
-1.1080 4.1808 3.0793
-4.9424 -0.6749 -5.4392
-7.9374 -8.6177 8.8440
F Ca Ba Cr Cu
28 2 4 4 2
Direct
0.4035 0.2757 0.4537 F
0.8722 0.2757 0.9537 F
0.0391 0.6811 0.2228 F
0.9338 0.0135 0.6544 F
0.1694 0.5078 0.4030 F
0.6420 0.6811 0.7228 F
0.0797 0.0135 0.1544 F
0.2968 0.1773 0.9804 F
0.5098 0.8901 0.3831 F
0.1278 0.7243 0.0463 F
0.8804 0.1773 0.4804 F
0.3580 0.3189 0.2772 F
0.7032 0.8227 0.0196 F
0.5965 0.7243 0.5463 F
0.5845 0.7553 0.2079 F
0.6615 0.4922 0.0970 F
0.1196 0.8227 0.5196 F
0.4902 0.1099 0.6169 F
0.3802 0.8901 0.8831 F
0.9203 0.9865 0.8456 F
0.1708 0.7553 0.7079 F
0.8292 0.2447 0.2921 F
0.4155 0.2447 0.7921 F
0.8306 0.4922 0.5970 F
0.0662 0.9865 0.3456 F
0.3385 0.5078 0.9030 F
0.9609 0.3189 0.7772 F
0.6198 0.1099 0.1169 F
0.4234 0.0000 0.2500 Ca
0.5766 0.0000 0.7500 Ca
0.1210 0.3764 0.1214 Ba
0.7446 0.6236 0.3786 Ba
0.8790 0.6236 0.8786 Ba
0.2554 0.3764 0.6214 Ba
0.1415 0.2457 0.8753 Cr
0.1042 0.2457 0.3753 Cr
0.8958 0.7543 0.6247 Cr
0.8585 0.7543 0.1247 Cr
0.5000 0.0000 0.0000 Cu
0.5000 0.0000 0.5000 Cu
```



# 5
The following is a GGA-PBEsol calculation of GeBiO2 after structural relaxation, from Alexandria via LeMat-Bulk.

Summary:
magnetization: 0.000 μB per formula unit
symmetry: No. 122
energy above the most stable polymorph in this dataset: 0.062 eV per atom
final energy: -5.716 eV per atom

POSCAR file:
```
GeBiO2
1.0
-4.9872 -0.3844 -2.7373
3.1233 -4.7565 0.9164
-1.7870 -3.8594 3.7979
Bi O Ge
2 4 2
Direct
0.0000 0.0000 0.0000 Bi
0.7500 0.5000 0.7500 Bi
0.8750 0.2500 0.4187 O
0.3750 0.2500 0.3313 O
0.3313 0.7500 0.8750 O
0.4187 0.7500 0.3750 O
0.2500 0.5000 0.2500 Ge
0.5000 0.0000 0.5000 Ge
```



# 6
The following is a GGA-PBEsol calculation of Eu3Mg after structural relaxation, from Alexandria via LeMat-Bulk.

Summary:
magnetization: 22.558 μB per formula unit
symmetry: No. 225
energy above the most stable polymorph in this dataset: 0.047 eV per atom
ΔE_f: -7 meV per atom
final energy: -8.358 eV per atom

POSCAR file:
```
Eu3Mg
1.0
5.7459 0.0000 0.0000
2.8729 4.9761 0.0000
2.8729 1.6587 4.6915
Eu Mg
3 1
Direct
0.7500 0.7500 0.7500 Eu
0.2500 0.2500 0.2500 Eu
0.5000 0.5000 0.5000 Eu
0.0000 0.0000 0.0000 Mg
```



# 7
The following is a GGA-PBEsol calculation of Li2ScAu2 after structural relaxation, from Alexandria via LeMat-Bulk.

Summary:
magnetization: 0.001 μB per formula unit
symmetry: No. 127
energy above the most stable polymorph in this dataset: 0.008 eV per atom
ΔE_f: -505 meV per atom
final energy: -4.183 eV per atom

POSCAR file:
```
Li2ScAu2
1.0
3.0039 0.0000 0.0000
0.0000 7.2278 0.0000
0.0000 0.0000 7.2278
Li Sc Au
4 2 4
Direct
0.0000 0.1121 0.3879 Li
0.0000 0.6121 0.1121 Li
0.0000 0.8879 0.6121 Li
0.0000 0.3879 0.8879 Li
0.0000 0.5000 0.5000 Sc
0.0000 0.0000 0.0000 Sc
0.5000 0.8123 0.3123 Au
0.5000 0.6877 0.8123 Au
0.5000 0.3123 0.1877 Au
0.5000 0.1877 0.6877 Au
```



# 8
The following is a GGA-PBEsol calculation of LiTa2Te after structural relaxation, from Alexandria via LeMat-Bulk.

Summary:
magnetization: 0.000 μB per formula unit
symmetry: No. 122
final energy: -7.283 eV per atom

POSCAR file:
```
LiTa2Te
1.0
3.8533 0.0000 0.0000
0.0000 3.8533 0.0000
-1.9266 -1.9266 10.2171
Li Te Ta
2 2 4
Direct
0.7500 0.2500 0.5000 Li
0.5000 0.5000 0.0000 Li
0.2500 0.7500 0.5000 Te
0.0000 0.0000 0.0000 Te
0.8787 0.3750 0.2500 Ta
0.3713 0.8750 0.2500 Ta
0.6250 0.6287 0.7500 Ta
0.1250 0.1213 0.7500 Ta
```



# 9
The following is a GGA-PBEsol calculation of Sc2P2I after structural relaxation, from Alexandria via LeMat-Bulk.

Summary:
magnetization: 0.000 μB per formula unit
symmetry: No. 139
final energy: -6.318 eV per atom

POSCAR file:
```
Sc2P2I
1.0
4.8842 0.0000 0.0000
-2.4421 4.9363 0.0146
0.0000 2.4038 4.2518
Sc I P
2 1 2
Direct
0.7500 0.5000 0.7500 Sc
0.2500 0.5000 0.2500 Sc
0.0000 0.0000 0.0000 I
0.3722 0.7444 0.6278 P
0.6278 0.2556 0.3722 P
```



# 10
The following is a GGA-PBEsol calculation of SnSI2 after structural relaxation, from Alexandria via LeMat-Bulk.

Summary:
magnetization: 0.001 μB per formula unit
symmetry: No. 122
final energy: -2.746 eV per atom

POSCAR file:
```
SnSI2
1.0
6.8296 -0.0077 0.0000
-2.9893 6.1406 0.0000
-1.9201 -3.0665 5.7925
Sn S I
2 2 4
Direct
0.2500 0.7500 0.5000 Sn
0.0000 0.0000 0.0000 Sn
0.7500 0.2500 0.5000 S
0.5000 0.5000 0.0000 S
0.8708 0.8750 0.4958 I
0.6250 0.1292 0.0042 I
0.3792 0.3750 0.5042 I
0.1250 0.6208 0.9958 I
```



# 11
The following is a GGA-PBEsol calculation of TiCu3P4O16 after structural relaxation, from Alexandria via LeMat-Bulk.

Summary:
magnetization: 0.003 μB per formula unit
symmetry: No. 6
final energy: -7.128 eV per atom

POSCAR file:
```
TiCu3P4O16
1.0
5.0605 0.0000 -0.0463
0.0000 5.9552 0.0000
-0.2300 0.0000 9.9095
O Cu P Ti
16 3 4 1
Direct
0.2482 0.5000 0.1395 O
0.7015 0.3008 0.1780 O
0.7218 0.0000 0.8576 O
0.2114 0.7992 0.3256 O
0.8176 0.7100 0.6716 O
0.3908 0.0000 0.0435 O
0.7658 0.0000 0.3655 O
0.1169 0.0000 0.5448 O
0.2114 0.2008 0.3256 O
0.2646 0.8093 0.8195 O
0.2646 0.1907 0.8195 O
0.8176 0.2900 0.6716 O
0.5739 0.5000 0.9589 O
0.2453 0.5000 0.6290 O
0.7015 0.6992 0.1780 O
0.8863 0.5000 0.4511 O
0.3596 0.5000 0.8065 Cu
0.6205 0.0000 0.1917 Cu
0.1158 0.5000 0.3107 Cu
0.5465 0.5000 0.1136 P
0.0675 0.0000 0.3874 P
0.4326 0.0000 0.8928 P
0.9430 0.5000 0.6040 P
0.9752 0.0000 0.7140 Ti
```



# 12
The following is a GGA-PBEsol calculation of PdCS2N after structural relaxation, from Alexandria via LeMat-Bulk.

Summary:
magnetization: 0.098 μB per formula unit
symmetry: No. 123
final energy: -4.446 eV per atom

POSCAR file:
```
PdCS2N
1.0
-0.0327 3.4929 0.7630
-3.8809 0.5565 -2.7140
-2.7701 -0.8530 3.7863
N C S Pd
1 1 2 1
Direct
0.5000 0.0000 0.0000 N
0.5000 0.5000 0.5000 C
0.0000 0.5000 0.0000 S
0.0000 0.0000 0.5000 S
0.0000 0.0000 0.0000 Pd
```



# 13
The following is a GGA-PBEsol calculation of TlSi2Se after structural relaxation, from Alexandria via LeMat-Bulk.

Summary:
magnetization: 0.000 μB per formula unit
symmetry: No. 6
energy above the most stable polymorph in this dataset: 0.120 eV per atom
final energy: -4.269 eV per atom

POSCAR file:
```
TlSi2Se
1.0
-0.1148 -0.7897 3.2688
-4.0376 -3.0253 -0.8727
3.2364 -3.5915 -2.5229
Si Se Tl
2 1 1
Direct
0.8748 0.0000 0.1212 Si
0.8459 0.5000 0.0669 Si
0.1786 0.5000 0.7395 Se
0.6006 0.0000 0.5724 Tl
```



# 14
The following is a GGA-PBEsol calculation of ZrCdMo2 after structural relaxation, from Alexandria via LeMat-Bulk.

Summary:
magnetization: 0.000 μB per formula unit
symmetry: No. 160
ΔE_f: 260 meV per atom
final energy: -8.196 eV per atom

POSCAR file:
```
ZrCdMo2
1.0
-0.8325 -0.4449 2.9223
-0.4921 -2.8473 1.0399
8.2266 -1.7289 3.6940
Mo Zr Cd
2 1 1
Direct
0.0102 0.0102 0.9695 Mo
0.7435 0.7435 0.7694 Mo
0.4920 0.4920 0.5241 Zr
0.2543 0.2543 0.2370 Cd
```



# 15
The following is a GGA-PBEsol calculation of AlC2S after structural relaxation, from Alexandria via LeMat-Bulk.

Summary:
magnetization: 0.000 μB per formula unit
symmetry: No. 225
final energy: -4.879 eV per atom

POSCAR file:
```
AlC2S
1.0
3.8394 0.0000 0.0000
1.9197 3.3250 0.0000
1.9197 1.1083 3.1348
C Al S
2 1 1
Direct
0.2500 0.2500 0.2500 C
0.7500 0.7500 0.7500 C
0.0000 0.0000 0.0000 Al
0.5000 0.5000 0.5000 S
```



# 16
The following is a GGA-PBEsol calculation of Ba3CaRh after structural relaxation, from Alexandria via LeMat-Bulk.

Summary:
magnetization: 0.000 μB per formula unit
symmetry: No. 221
energy above the most stable polymorph in this dataset: 0.000 eV per atom
ΔE_f: -48 meV per atom
final energy: -3.392 eV per atom

POSCAR file:
```
Ba3CaRh
1.0
6.0409 0.0000 0.0000
0.0000 6.0409 0.0000
0.0000 0.0000 6.0409
Ba Ca Rh
3 1 1
Direct
0.0000 0.0000 0.5000 Ba
0.5000 0.0000 0.0000 Ba
0.0000 0.5000 0.0000 Ba
0.5000 0.5000 0.5000 Ca
0.0000 0.0000 0.0000 Rh
```



# 17
The following is a GGA-PBEsol calculation of Zn2InIr after structural relaxation, from Alexandria via LeMat-Bulk.

Summary:
magnetization: 0.000 μB per formula unit
symmetry: No. 8
ΔE_f: -21 meV per atom
final energy: -4.014 eV per atom

POSCAR file:
```
Zn2InIr
1.0
-1.0290 -2.6620 1.0428
3.3060 -2.1726 -2.2838
2.3768 2.2262 3.6012
In Zn Ir
1 2 1
Direct
0.4928 0.4846 0.9856 In
0.2582 0.7705 0.5164 Zn
0.0078 0.0030 0.0157 Zn
0.7412 0.2419 0.4824 Ir
```



# 18
The following is a GGA-PBEsol calculation of InNi2P after structural relaxation, from Alexandria via LeMat-Bulk.

Summary:
magnetization: 0.001 μB per formula unit
symmetry: No. 8
ΔE_f: -203 meV per atom
final energy: -5.476 eV per atom

POSCAR file:
```
InNi2P
1.0
3.1680 0.0000 0.0000
-1.5840 3.7274 -0.0165
0.0000 -0.8558 5.0388
Ni P In
2 1 1
Direct
0.2409 0.4817 0.6632 Ni
0.9871 0.9742 0.9385 Ni
0.5349 0.0697 0.6689 P
0.7372 0.4743 0.2294 In
```



# 19
The following is a GGA-PBEsol calculation of Ta2CdAs after structural relaxation, from Alexandria via LeMat-Bulk.

Summary:
magnetization: 0.001 μB per formula unit
symmetry: No. 119
energy above the most stable polymorph in this dataset: 0.259 eV per atom
ΔE_f: 280 meV per atom
final energy: -7.572 eV per atom

POSCAR file:
```
Ta2CdAs
1.0
-1.5077 3.6250 0.6096
-2.7584 -1.5513 2.4022
4.8404 -0.4928 1.9543
As Cd Ta
1 1 2
Direct
0.5000 0.5000 0.0000 As
0.2500 0.7500 0.5000 Cd
0.0000 0.0000 0.0000 Ta
0.7500 0.2500 0.5000 Ta
```



# 20
The following is a GGA-PBEsol calculation of Ba2BAsF after structural relaxation, from Alexandria via LeMat-Bulk.

Summary:
magnetization: 0.002 μB per formula unit
symmetry: No. 123
final energy: -4.256 eV per atom

POSCAR file:
```
Ba2BAsF
1.0
3.9856 0.0000 0.0000
0.0000 6.0411 0.0000
0.0000 0.0000 6.0411
F B Ba As
1 1 2 1
Direct
0.5000 0.5000 0.5000 F
0.5000 0.0000 0.0000 B
0.0000 0.5000 0.0000 Ba
0.0000 0.0000 0.5000 Ba
0.0000 0.0000 0.0000 As
```



# 21
The following is a GGA-PBEsol calculation of Cd2TeRh after structural relaxation, from Alexandria via LeMat-Bulk.

Summary:
magnetization: 0.000 μB per formula unit
symmetry: No. 8
final energy: -3.628 eV per atom

POSCAR file:
```
Cd2TeRh
1.0
-2.1405 0.3661 2.2087
-1.7653 -3.3034 -3.3351
3.9861 -2.9560 4.3530
Rh Cd Te
1 2 1
Direct
0.5493 0.0987 0.4053 Rh
0.7987 0.5974 0.3181 Cd
0.9935 0.9870 0.0368 Cd
0.1585 0.3169 0.7398 Te
```



# 22
The following is a GGA-PBEsol calculation of VOF2 after structural relaxation, from Alexandria via LeMat-Bulk.

Summary:
magnetization: 1.000 μB per formula unit
symmetry: No. 5
final energy: -7.360 eV per atom

POSCAR file:
```
VOF2
1.0
-2.6664 -1.2024 -4.2027
4.4609 0.0110 -2.8333
0.7129 -10.1886 5.5819
F V O
12 6 6
Direct
0.4119 0.9904 0.4703 F
0.6791 0.6837 0.3309 F
0.3247 0.5000 0.0000 F
0.5807 0.1530 0.8729 F
0.1031 0.6738 0.7966 F
0.7078 0.8470 0.1271 F
0.3482 0.3163 0.6691 F
0.6618 0.8419 0.6692 F
0.9926 0.1581 0.3308 F
0.0189 0.0000 0.0000 F
0.3065 0.3262 0.2034 F
0.9416 0.0096 0.5297 F
0.8106 0.8758 0.8372 V
0.1714 0.2769 0.4994 V
0.9734 0.1242 0.1628 V
0.4697 0.6218 0.1701 V
0.2996 0.3782 0.8299 V
0.6721 0.7231 0.5006 V
0.7712 0.3553 0.1407 O
0.6305 0.6447 0.8593 O
0.0496 0.1725 0.8088 O
0.9278 0.5057 0.5194 O
0.4084 0.4943 0.4806 O
0.2407 0.8275 0.1912 O
```



# 23
The following is a GGA-PBEsol calculation of HgTe3 after structural relaxation, from Alexandria via LeMat-Bulk.

Summary:
magnetization: 0.000 μB per formula unit
symmetry: No. 194
final energy: -2.691 eV per atom

POSCAR file:
```
HgTe3
1.0
4.0702 0.0000 0.0000
0.0000 8.0800 0.0000
0.0000 -4.0400 6.9974
Te Hg
6 2
Direct
0.7500 0.1685 0.3369 Te
0.7500 0.1685 0.8315 Te
0.2500 0.3369 0.1685 Te
0.2500 0.8315 0.1685 Te
0.2500 0.8315 0.6631 Te
0.7500 0.6631 0.8315 Te
0.2500 0.3333 0.6667 Hg
0.7500 0.6667 0.3333 Hg
```



# 24
The following is a GGA-PBEsol calculation of LiCrPb2 after structural relaxation, from Alexandria via LeMat-Bulk.

Summary:
magnetization: 3.950 μB per formula unit
symmetry: No. 119
ΔE_f: 274 meV per atom
final energy: -4.778 eV per atom

POSCAR file:
```
LiCrPb2
1.0
-3.1345 2.1730 -1.7523
0.7815 -1.8463 -3.6875
-1.9707 -3.7806 3.8640
Li Cr Pb
1 1 2
Direct
0.2500 0.7500 0.5000 Li
0.5000 0.5000 0.0000 Cr
0.7500 0.2500 0.5000 Pb
0.0000 0.0000 0.0000 Pb
```